K2CrAsPt at its PBEsol-relaxed geometry, computed with meta-GGA SCAN.

Cell and atoms, written as extended XYZ:
```
5
Lattice="-2.810 1.120 -3.329 -2.320 -5.872 -0.017 -4.350 1.706 4.246" Properties=species:S:1:pos:R:3 pbc="T T T"
Cr -4.740 -1.523 0.450
As 0.000 0.000 0.000
K -2.175 0.853 2.123
K -1.160 -2.936 -0.009
Pt -1.405 0.560 -1.664
```

Values from the calculation:
DOS at the Fermi energy: 1.7 states/eV per cell
calculated formation energy: 0.2066 eV/atom